No. 1
## TlAg2W (GGA-PBE)

Data for an optimized crystal structure of TlAg2W.

```
TlAg2W
1.0
-2.463 -9.621 2.493
-1.034 -8.879 4.994
-3.918 -8.223 4.678
Ag Tl W
2 1 1
Direct
0.494 0.494 0.494 Ag
0.006 0.006 0.006 Ag
0.250 0.250 0.250 Tl
0.750 0.750 0.750 W
```

Output
Total energy   -18.45 eV per formula unit
ΔH_f (0 K)   642.0 meV/atom
Fermi-level density of states   1.45 states/eV/atom
Relative energy among the computed polymorphs   59 meV/atom

---

No. 2
## CaIn (GGA-PBE)

Data for an optimized crystal structure of CaIn.

```
CaIn
1.0
-2.138 -2.930 1.263
3.754 -0.498 -0.641
2.013 2.708 9.689
Ca In
2 2
Direct
0.667 0.333 0.284 Ca
0.000 0.000 0.966 Ca
0.667 0.333 0.728 In
0.000 0.000 0.522 In
```

Output
Total energy   -5.08 eV per formula unit
ΔH_f (0 K)   -168.2 meV/atom
Fermi-level density of states   0.84 states/eV/atom

---

No. 3
## Li2CaRe (GGA-PBE)

Data for an optimized crystal structure of Li2CaRe.

```
Li2CaRe
1.0
2.781 -0.022 0.000
-0.503 2.735 0.000
0.000 0.000 10.061
Ca Li Re
1 2 1
Direct
0.500 0.500 0.723 Ca
0.000 0.000 0.019 Li
0.500 0.500 0.274 Li
0.000 0.000 0.484 Re
```

Output
Total energy   -16.39 eV per formula unit
ΔH_f (0 K)   472.5 meV/atom
Fermi-level density of states   0.53 states/eV/atom
Relative energy among the computed polymorphs   0 meV/atom

---

No. 4
## Tb2Sm3Tm5 (GGA-PBE)

Data for an optimized crystal structure of Tb2Sm3Tm5.

```
Tb2Sm3Tm5
1.0
-2.617 -7.493 5.006
4.966 -7.581 -2.404
4.206 9.322 4.183
Tb Tm Sm
4 10 6
Direct
0.231 0.982 0.262 Tb
0.469 0.721 0.738 Tb
0.531 0.279 0.262 Tb
0.769 0.018 0.738 Tb
0.527 0.277 0.555 Tm
0.633 0.882 0.273 Tm
0.729 0.479 0.958 Tm
0.974 0.224 0.448 Tm
0.026 0.776 0.552 Tm
0.473 0.723 0.445 Tm
0.140 0.392 0.273 Tm
0.271 0.521 0.042 Tm
0.860 0.608 0.727 Tm
0.367 0.118 0.727 Tm
0.025 0.777 0.254 Sm
0.233 0.983 0.967 Sm
0.975 0.223 0.746 Sm
0.767 0.017 0.033 Sm
0.271 0.523 0.746 Sm
0.729 0.477 0.254 Sm
```

Output
Total energy   -43.82 eV per formula unit
ΔH_f (0 K)   195.8 meV/atom
Fermi-level density of states   1.78 states/eV/atom
Relative energy among the computed polymorphs   0 meV/atom

---

No. 5
## Ac2Ga4Ag5 (GGA-PBE)

Data for an optimized crystal structure of Ac2Ga4Ag5.

```
Ac2Ga4Ag5
1.0
-0.988 3.793 4.428
-5.948 -1.517 3.922
2.251 -2.311 6.431
Ag Ac Ga
5 2 4
Direct
0.000 0.500 0.500 Ag
0.211 0.234 0.829 Ag
0.789 0.766 0.171 Ag
0.275 0.766 0.171 Ag
0.725 0.234 0.829 Ag
0.713 0.227 0.346 Ac
0.287 0.773 0.654 Ac
0.642 0.927 0.789 Ga
0.358 0.073 0.211 Ga
0.770 0.550 0.910 Ga
0.230 0.450 0.090 Ga
```

Output
Total energy   -36.90 eV per formula unit
ΔH_f (0 K)   -210.9 meV/atom
Fermi-level density of states   0.64 states/eV/atom

---

No. 6
## KAg7F12 (GGA-PBE)

Data for an optimized crystal structure of KAg7F12.

```
KAg7F12
1.0
7.473 0.000 0.000
-2.491 7.046 0.000
-2.491 -3.523 6.102
K F Ag
1 12 7
Direct
0.000 0.000 0.000 K
0.827 0.516 0.690 F
0.137 0.310 0.827 F
0.516 0.690 0.827 F
0.173 0.484 0.310 F
0.484 0.310 0.173 F
0.690 0.173 0.863 F
0.827 0.137 0.310 F
0.310 0.173 0.484 F
0.690 0.827 0.516 F
0.310 0.827 0.137 F
0.173 0.863 0.690 F
0.863 0.690 0.173 F
0.500 0.000 0.500 Ag
0.000 0.000 0.500 Ag
0.500 0.500 0.500 Ag
0.000 0.500 0.500 Ag
0.000 0.500 0.000 Ag
0.500 0.500 0.000 Ag
0.500 0.000 0.000 Ag
```

Output
Total energy   -69.39 eV per formula unit
ΔE_f (raw)   -25.88 eV per formula unit
Fermi-level density of states   0.68 states/eV/atom